Version w
A geometry-optimized Sb2HOsI structure, computed with PBE-GGA.

Output
The space-group type is P4/mmm, No. 123.

a b c (Å): 4.3379 4.3379 5.1518
angles (deg): 90.00 90.00 90.00
Sites, in units of the cell vectors:
Sb1 0.0000 0.5000 0.0000
Sb2 0.5000 0.0000 0.0000
H1 0.0000 0.0000 0.0000
Os1 0.5000 0.5000 0.5000
I1 0.0000 0.0000 0.5000



Version x
A geometry-optimized Sb2HOsI structure, computed with PBE-GGA.

Output
The space-group type is P4/mmm, No. 123.

a b c (Å): 5.0441 5.0441 6.0085
angles (deg): 90.00 90.00 90.00
Sites, in units of the cell vectors:
Sb1 0.0000 0.5000 0.0000
Sb2 0.5000 0.0000 0.0000
H1 0.0000 0.0000 0.5000
Os1 0.5000 0.5000 0.0000
I1 0.5000 0.5000 0.5000



Most stable pick: version x. Distance to second place: 21.8 kJ/mol of atoms.



Version w
A geometry-optimized TeHOsI2 structure, computed with PBE-GGA.

Output
The space-group type is P4/mmm, No. 123.

a b c (Å): 5.7184 5.7184 4.9707
angles (deg): 90.00 90.00 90.00
Sites, in units of the cell vectors:
Te1 0.0000 0.0000 0.0000
H1 0.5000 0.5000 0.0000
Os1 0.0000 0.0000 0.5000
I1 0.0000 0.5000 0.5000
I2 0.5000 0.0000 0.5000



Version x
A geometry-optimized TeHOsI2 structure, computed with PBE-GGA.

Output
The space-group type is P4/mmm, No. 123.

a b c (Å): 5.3989 5.3989 3.6865
angles (deg): 90.00 90.00 90.00
Sites, in units of the cell vectors:
Te1 0.0000 0.0000 0.0000
H1 0.0000 0.0000 0.5000
Os1 0.5000 0.5000 0.0000
I1 0.0000 0.5000 0.5000
I2 0.5000 0.0000 0.5000



Most stable pick: version w. Distance to second place: 49.8 kJ/mol of atoms.



Version w
A geometry-optimized PH4I structure, computed with PBE-GGA.

Output
The space-group type is P4/nmm, No. 129.

a b c (Å): 6.3160 6.3160 4.5732
angles (deg): 90.00 90.00 90.00
Sites, in units of the cell vectors:
P1 0.2500 0.7500 0.0000
P2 0.7500 0.2500 0.0000
H1 0.0676 0.7500 0.1821
H2 0.2500 0.5676 0.8179
H3 0.2500 0.9324 0.8179
H4 0.4324 0.7500 0.1821
H5 0.5676 0.2500 0.8179
H6 0.7500 0.0676 0.1821
H7 0.7500 0.4324 0.1821
H8 0.9324 0.2500 0.8179
I1 0.2500 0.2500 0.4056
I2 0.7500 0.7500 0.5944



Version x
A geometry-optimized PH4I structure, computed with PBE-GGA.

Output
The space-group type is C2/m, No. 12.

a b c (Å): 4.6933 4.6933 8.9670
angles (deg): 92.66 92.66 88.03
Sites, in units of the cell vectors:
P1 0.0000 0.5000 0.0000
P2 0.5000 0.0000 0.0000
H1 0.0626 0.4293 0.8306
H2 0.2472 0.7528 0.0000
H3 0.2549 0.2549 0.0365
H4 0.4293 0.0626 0.8306
H5 0.5707 0.9374 0.1694
H6 0.7451 0.7451 0.9635
H7 0.7528 0.2472 0.0000
H8 0.9374 0.5707 0.1694
I1 0.2686 0.2686 0.6432
I2 0.7314 0.7314 0.3568



Most stable pick: version w. Distance to second place: 30.3 kJ/mol of atoms.



Version w
A geometry-optimized PH2I structure, computed with PBE-GGA.

Output
The space-group type is Fm-3m, No. 225.

a b c (Å): 4.1226 4.1226 4.1226
angles (deg): 60.00 60.00 60.00
Sites, in units of the cell vectors:
P1 0.0000 0.0000 0.0000
H1 0.2500 0.2500 0.2500
H2 0.7500 0.7500 0.7500
I1 0.5000 0.5000 0.5000



Version x
A geometry-optimized PH2I structure, computed with PBE-GGA.

Output
The space-group type is C2/m, No. 12.

a b c (Å): 6.5110 6.5110 4.7938
angles (deg): 101.05 101.05 64.91
Sites, in units of the cell vectors:
P1 0.1061 0.1061 0.1255
P2 0.8939 0.8939 0.8745
H1 0.0577 0.7527 0.6849
H2 0.2473 0.9423 0.3151
H3 0.7527 0.0577 0.6849
H4 0.9423 0.2473 0.3151
I1 0.3485 0.3485 0.2446
I2 0.6515 0.6515 0.7554



Most stable pick: version x. Distance to second place: 129.3 kJ/mol of atoms.



Version w
A geometry-optimized PHI2 structure, computed with PBE-GGA.

Output
The space-group type is Fm-3m, No. 225.

a b c (Å): 5.0155 5.0155 5.0155
angles (deg): 60.00 60.00 60.00
Sites, in units of the cell vectors:
P1 0.0000 0.0000 0.0000
H1 0.5000 0.5000 0.5000
I1 0.2500 0.2500 0.2500
I2 0.7500 0.7500 0.7500



Version x
A geometry-optimized PHI2 structure, computed with PBE-GGA.

Output
The space-group type is I4_1/amd, No. 141.

a b c (Å): 8.7094 8.7094 8.7094
angles (deg): 120.75 120.75 88.71
Sites, in units of the cell vectors:
P1 0.3750 0.6250 0.7500
P2 0.6250 0.3750 0.2500
H1 0.1250 0.8750 0.2500
H2 0.8750 0.1250 0.7500
I1 0.0000 0.5000 0.5000
I2 0.5000 0.0000 0.0000
I3 0.5000 0.5000 0.0000
I4 0.5000 0.5000 0.5000



Most stable pick: version x. Distance to second place: 35.5 kJ/mol of atoms.



Version w
A geometry-optimized PH3I structure, computed with PBE-GGA.

Output
The space-group type is Pm-3m, No. 221.

a b c (Å): 3.8005 3.8005 3.8005
angles (deg): 90.00 90.00 90.00
Sites, in units of the cell vectors:
P1 0.0000 0.0000 0.0000
H1 0.0000 0.0000 0.5000
H2 0.0000 0.5000 0.0000
H3 0.5000 0.0000 0.0000
I1 0.5000 0.5000 0.5000



Version x
A geometry-optimized PH3I structure, computed with PBE-GGA.

Output
The space-group type is R3m, No. 160.

a b c (Å): 4.6543 4.6543 4.6543
angles (deg): 101.51 101.51 101.51
Sites, in units of the cell vectors:
P1 0.0000 0.0000 0.0000
H1 0.2032 0.2032 0.8961
H2 0.2032 0.8961 0.2032
H3 0.8961 0.2032 0.2032
I1 0.5341 0.5341 0.5341



Version y
A geometry-optimized PH3I structure, computed with PBE-GGA.

Output
The space-group type is Pm-3m, No. 221.

a b c (Å): 4.0514 4.0514 4.0514
angles (deg): 90.00 90.00 90.00
Sites, in units of the cell vectors:
P1 0.0000 0.0000 0.0000
H1 0.0000 0.5000 0.5000
H2 0.5000 0.0000 0.5000
H3 0.5000 0.5000 0.0000
I1 0.5000 0.5000 0.5000



Most stable pick: version x. Distance to second place: 70.3 kJ/mol of atoms.